Here is a relaxed TmZr2Sc8 crystal from the Alexandria database. Energies are from PBE-GGA.

Lattice parameters (Å, degrees): 4.5844 7.3107 8.6532 104.62 105.36 90.00
With the nearest neighbours (Å) after each atom.
Element x y z (fractional)
Sc1 0.6838 0.9069 0.3677  8 Sc 3.18-3.30, 3 Zr 3.27-3.32, 1 Tm 3.31
Sc2 0.8584 0.8072 0.7167  3 Zr 3.14-3.19, 7 Sc 3.18-3.37, 2 Tm 3.33
Sc3 0.0479 0.7240 0.0958  9 Sc 3.23-3.37, 1 Zr 3.26, 2 Tm 3.29
Sc4 0.4036 0.5385 0.8072  3 Zr 3.17-3.19, 8 Sc 3.20-3.41, 1 Tm 3.34
Sc5 0.3162 0.0931 0.6323  8 Sc 3.18-3.30, 3 Zr 3.27-3.32, 1 Tm 3.31
Sc6 0.9521 0.2760 0.9042  9 Sc 3.23-3.37, 1 Zr 3.26, 2 Tm 3.29
Sc7 0.5964 0.4615 0.1928  3 Zr 3.17-3.19, 8 Sc 3.20-3.41, 1 Tm 3.34
Sc8 0.1416 0.1928 0.2833  3 Zr 3.14-3.19, 7 Sc 3.18-3.37, 2 Tm 3.33
Zr1 0.7718 0.3702 0.5436  10 Sc 3.14-3.32, 2 Zr 3.18
Zr2 0.2282 0.6298 0.4564  10 Sc 3.14-3.32, 2 Zr 3.18
Tm1 0.5000 0.0000 0.0000  12 Sc 3.29-3.34

Output
space group = C2/m, No. 12
polymorph energy (0 for the lowest one) = 0.000 eV per atom
DFT total energy = -6.533 eV per atom
calculated formation energy = 3.15 kJ per mole of atoms
total magnetic moment = 0.000 μB/f.u.